The following is a PBEsol calculation of a relaxed KSb2As crystal, from the Alexandria database.

Calculated values
* energy relative to the elements, uncorrected: -0.068 eV per atom
* symmetry: Immm (71)

abc: 3.6228 5.6310 6.2515
angles: 116.77 106.84 90.00
Last column: nearest neighbours and their distance in Å.
Positions (direct):
Sb 0.7047 0.7047 0.4094  2 As 2.82
Sb 0.2953 0.2953 0.5906  2 As 2.82
As 0.0000 0.5000 0.0000  4 Sb 2.82
K 0.5000 0.0000 0.0000  4 As 3.35, 8 Sb 3.55-3.61, 2 K 3.62